A plane-wave DFT calculation with GGA-PBEsol was carried out for crystalline SnP2SO at its relaxed geometry.

a = 5.032 Å, b = 5.032 Å, c = 4.919 Å
α = 90.00°, β = 90.00°, γ = 90.00°
Element x y z (fractional)
Sn1 0.000 0.000 0.000
P1 0.000 0.500 0.000
P2 0.500 0.000 0.000
S1 0.000 0.000 0.500
O1 0.500 0.500 0.500

Calculated values
total magnetic moment	2.80	μB/cell
final energy	-17.6	eV for the cell shown
symmetry	No. 123
ΔE_f (raw)	1.5652	eV per atom
N(E_F)	6.8	states/eV/cell
relative energy among the computed polymorphs	1.311	eV per atom

---

A plane-wave DFT calculation with GGA-PBEsol was carried out for crystalline Mg2CdPt at its relaxed geometry.

a = 4.032 Å, b = 4.032 Å, c = 8.510 Å
α = 90.00°, β = 90.00°, γ = 90.00°
Element x y z (fractional)
Mg1 0.000 0.000 0.000
Mg2 0.000 0.500 0.250
Mg3 0.500 0.000 0.750
Mg4 0.500 0.500 0.500
Cd1 0.000 0.000 0.500
Cd2 0.500 0.500 0.000
Pt1 0.000 0.500 0.750
Pt2 0.500 0.000 0.250

Calculated values
total magnetic moment	0.00	μB/cell
final energy	-27.0	eV for the cell shown
symmetry	No. 119
N(E_F)	2.2	states/eV/cell
ΔE_f	-0.48	eV per atom